Compound: NdErSc2
Source: Alexandria
Functional: PBE
Structure: relaxed Values from VASP.

Values from the calculation:
energy above the lowest structure with this stoichiometry	1	meV per atom
magnetization	0.01	μB per formula unit
calculated formation energy	5	kJ per mole of atoms
crystal system	trigonal
space group	R3m

```
&SYSTEM
  ibrav = 0, nat = 4, ntyp = 3
/
ATOMIC_SPECIES
Nd 144.24 Nd.upf
Sc 44.96 Sc.upf
Er 167.26 Er.upf
CELL_PARAMETERS angstrom
3.470 0.000 0.000
1.735 3.005 0.000
1.735 1.002 10.927
ATOMIC_POSITIONS angstrom
Nd 3.470 2.003 0.011
Sc 1.735 1.002 2.783
Sc 1.735 1.002 8.139
Er 3.470 2.003 5.457
```